Tm2HgPb: optimized geometry, PBE.

CIF file:
```
data_Tm2HgPb
_space_group_name_H-M_alt 'R 3 m'
_space_group_IT_number 160
_space_group_name_Hall 'R 3 -2"'
_cell_length_a 4.4660
_cell_length_b 4.4660
_cell_length_c 20.8579
_cell_angle_alpha 90.00
_cell_angle_beta 90.00
_cell_angle_gamma 120.00
loop_
_atom_site_label
_atom_site_fract_x
_atom_site_fract_y
_atom_site_fract_z
Tm1 0.0000 0.0000 0.0000
Tm2 0.0000 0.0000 0.1764
Hg1 0.0000 0.0000 0.4210
Pb1 0.0000 0.0000 0.5868
```

formation energy: -249 meV/atom
crystal system: trigonal
mass density: 10.31 Mg/m³

---

K3DySb2O9: optimized geometry, PBE.

CIF file:
```
data_K3DySb2O9
_space_group_name_H-M_alt 'P -3 m 1'
_space_group_IT_number 164
_space_group_name_Hall '-P 3 2"'
_cell_length_a 5.8892
_cell_length_b 5.8892
_cell_length_c 7.2768
_cell_angle_alpha 90.00
_cell_angle_beta 90.00
_cell_angle_gamma 120.00
loop_
_atom_site_label
_atom_site_fract_x
_atom_site_fract_y
_atom_site_fract_z
K1 0.0000 0.0000 0.0000
K2 0.3333 0.6667 0.6651
Dy1 0.0000 0.0000 0.5000
Sb1 0.3333 0.6667 0.1594
O1 0.0000 0.5000 0.0000
O2 0.1752 0.3504 0.3150
```

crystal system: trigonal
mass density: 5.07 Mg/m³
energy relative to the elements, uncorrected: -1724 meV/atom

---

LaMn: optimized geometry, PBE.

CIF file:
```
data_LaMn
_space_group_name_H-M_alt 'P 21 3'
_space_group_IT_number 198
_space_group_name_Hall 'P 2ac 2ab 3'
_cell_length_a 5.898
_cell_length_b 5.898
_cell_length_c 5.898
_cell_angle_alpha 90.00
_cell_angle_beta 90.00
_cell_angle_gamma 90.00
loop_
_atom_site_label
_atom_site_fract_x
_atom_site_fract_y
_atom_site_fract_z
La1 0.080 0.420 0.580
Mn1 0.094 0.906 0.406
```

formation energy: 415 meV/atom
crystal system: cubic
mass density: 6.27 Mg/m³

---

Pm6Tl2Fe: optimized geometry, PBE.

CIF file:
```
data_Pm6Tl2Fe
_space_group_name_H-M_alt 'C 1 2/m 1'
_space_group_IT_number 12
_cell_length_a 12.481
_cell_length_b 7.253
_cell_length_c 7.274
_cell_angle_alpha 90.00
_cell_angle_beta 125.33
_cell_angle_gamma 90.00
loop_
_space_group_symop_operation_xyz
'x,y,z'
'-x,-y,-z'
'-x,y,-z'
'x,-y,z'
'x+1/2,y+1/2,z'
'-x+1/2,-y+1/2,-z'
'-x+1/2,y+1/2,-z'
'x+1/2,-y+1/2,z'
loop_
_atom_site_label
_atom_site_fract_x
_atom_site_fract_y
_atom_site_fract_z
Pm1 0.020 0.248 0.271
Pm2 0.248 0.000 0.788
Tl1 0.248 0.500 0.747
Fe1 0.000 0.500 0.000
```

formation energy: -142 meV/atom
crystal system: monoclinic
mass density: 8.25 Mg/m³